This record from the Alexandria database describes a relaxed structure of Sr2TcHg. The functional is PBE.

Properties
space-group type	No. 8
E_form	0.38	eV/atom
final energy	-3.13	eV per atom

Lattice parameters (Å, degrees): 6.2959 6.2959 5.6044 107.91 107.91 32.77
Closest atoms and distances in Å follow each position.
Fractional coordinates of all 4 atoms:
Sr 0.0000 0.0000 0.0000  4 Hg 3.37-3.44, 3 Tc 3.41, 4 Sr 3.55-3.62
Sr 0.1983 0.1983 0.6409  3 Hg 3.34-3.53, 4 Tc 3.35-3.41, 4 Sr 3.55-3.62
Tc 0.7539 0.7539 0.1727  2 Hg 2.83
Hg 0.4321 0.4321 0.4450  2 Tc 2.83

---

This record from the Alexandria database describes a relaxed structure of Cd3In12GaHg4. The functional is PBE.

Properties
space-group type	No. 204
E_form	0.14	eV/atom
final energy	-1.86	eV per atom

Lattice parameters (Å, degrees): 9.3897 9.3897 9.3897 109.47 109.47 109.47
Closest atoms and distances in Å follow each position.
Fractional coordinates of all 20 atoms:
Cd 0.0000 0.5000 0.5000  4 In 3.03
Cd 0.5000 0.0000 0.5000  4 In 3.03
Cd 0.5000 0.5000 0.0000  4 In 3.03
In 0.1160 0.2614 0.8546  2 Hg 2.94, 1 Cd 3.03, 1 In 3.15, 1 Ga 3.24
In 0.1454 0.4068 0.2614  2 Hg 2.94, 1 Cd 3.03, 1 In 3.15, 1 Ga 3.24
In 0.1454 0.8840 0.7386  2 Hg 2.94, 1 Cd 3.03, 1 In 3.15, 1 Ga 3.24
In 0.2614 0.1454 0.4068  2 Hg 2.94, 1 Cd 3.03, 1 In 3.15, 1 Ga 3.24
In 0.2614 0.8546 0.1160  2 Hg 2.94, 1 Cd 3.03, 1 In 3.15, 1 Ga 3.24
In 0.4068 0.2614 0.1454  2 Hg 2.94, 1 Cd 3.03, 1 In 3.15, 1 Ga 3.24
In 0.5932 0.7386 0.8546  2 Hg 2.94, 1 Cd 3.03, 1 In 3.15, 1 Ga 3.24
In 0.7386 0.1454 0.8840  2 Hg 2.94, 1 Cd 3.03, 1 In 3.15, 1 Ga 3.24
In 0.7386 0.8546 0.5932  2 Hg 2.94, 1 Cd 3.03, 1 In 3.15, 1 Ga 3.24
In 0.8546 0.1160 0.2614  2 Hg 2.94, 1 Cd 3.03, 1 In 3.15, 1 Ga 3.24
In 0.8546 0.5932 0.7386  2 Hg 2.94, 1 Cd 3.03, 1 In 3.15, 1 Ga 3.24
In 0.8840 0.7386 0.1454  2 Hg 2.94, 1 Cd 3.03, 1 In 3.15, 1 Ga 3.24
Ga 0.0000 0.0000 0.0000  12 In 3.24
Hg 0.0000 0.0000 0.5000  6 In 2.94
Hg 0.0000 0.5000 0.0000  6 In 2.94
Hg 0.5000 0.0000 0.0000  6 In 2.94
Hg 0.5000 0.5000 0.5000  6 In 2.94

---

This record from the Alexandria database describes a relaxed structure of SmYSnHg. The functional is PBE.

Properties
space-group type	No. 216
E_form	-0.59	eV/atom
final energy	-4.47	eV per atom

Lattice parameters (Å, degrees): 5.3413 5.3413 5.3413 60.00 60.00 60.00
Closest atoms and distances in Å follow each position.
Fractional coordinates of all 4 atoms:
Sm 0.0000 0.0000 0.0000  4 Sn 3.27, 4 Hg 3.27
Y 0.5000 0.5000 0.5000  4 Sn 3.27, 4 Hg 3.27
Sn 0.7500 0.7500 0.7500  4 Sm 3.27, 4 Y 3.27
Hg 0.2500 0.2500 0.2500  4 Sm 3.27, 4 Y 3.27

---

This record from the Alexandria database describes a relaxed structure of Zn4RuN4. The functional is PBE.

Properties
raw formation energy	0.359	eV per atom
space-group type	No. 2
final energy	-4.94	eV per atom

Lattice parameters (Å, degrees): 5.6504 5.7352 7.9495 76.93 77.16 68.20
Closest atoms and distances in Å follow each position.
Fractional coordinates of all 18 atoms:
Zn 0.1303 0.1847 0.3888  4 N 2.07-2.16
Zn 0.2342 0.2613 0.9997  4 N 2.11-2.20
Zn 0.3463 0.8852 0.7517  3 N 1.96-2.01
Zn 0.3515 0.3948 0.6353  3 N 2.05-2.23
Zn 0.6485 0.6052 0.3647  3 N 2.05-2.23
Zn 0.6537 0.1148 0.2483  3 N 1.96-2.01
Zn 0.7658 0.7387 0.0003  4 N 2.11-2.20
Zn 0.8697 0.8153 0.6112  4 N 2.07-2.16
Ru 0.2210 0.6950 0.2119  4 N 1.84-2.02
Ru 0.7790 0.3050 0.7881  4 N 1.84-2.02
N 0.0016 0.4969 0.8093  1 Ru 2.01, 4 Zn 2.11-2.16
N 0.0263 0.0709 0.6528  1 Ru 1.87, 3 Zn 1.96-2.09
N 0.3639 0.8480 0.0062  1 Ru 1.84, 1 Zn 2.01
N 0.3960 0.3811 0.3749  3 Zn 1.96-2.16, 1 Ru 2.02
N 0.6040 0.6189 0.6251  3 Zn 1.96-2.16, 1 Ru 2.02
N 0.6361 0.1520 0.9938  1 Ru 1.84, 1 Zn 2.01
N 0.9737 0.9291 0.3472  1 Ru 1.87, 3 Zn 1.96-2.09
N 0.9984 0.5031 0.1907  1 Ru 2.01, 4 Zn 2.11-2.16

---

Number 2 is which compound?
Cd3In12GaHg4

---

Which of these has the highest final energy?
Cd3In12GaHg4

---

Which of these has the lowest final energy?
Zn4RuN4

---

Which value of final energy does entry 4 give?
-4.94 eV per atom